Cu5Ru | GGA-PBE | relaxed

a b c (Å): 4.6995 4.6995 4.1099
angles (deg): 90.00 90.00 120.00
Fractional coordinates of all 6 atoms:
Cu (0.0000, 0.5000, 0.0000)
Cu (0.3333, 0.6667, 0.5000)
Cu (0.5000, 0.0000, 0.0000)
Cu (0.5000, 0.5000, 0.0000)
Cu (0.6667, 0.3333, 0.5000)
Ru (0.0000, 0.0000, 0.5000)

E above lowest polymorph in eV/atom: 0.2954
Calculated density in kg/m3: 8847
Crystal system: hexagonal

=====

K2BaZn2S4 | GGA-PBE | relaxed

a b c (Å): 8.5994 8.5994 8.6719
angles (deg): 118.90 118.90 27.77
Fractional coordinates of all 9 atoms:
K (0.1167, 0.1167, 0.0795)
K (0.8833, 0.8833, 0.9205)
Ba (0.0000, 0.0000, 0.5000)
Zn (0.3293, 0.3293, 0.5393)
Zn (0.6707, 0.6707, 0.4607)
S (0.2197, 0.2197, 0.6452)
S (0.4824, 0.4824, 0.7531)
S (0.5176, 0.5176, 0.2469)
S (0.7803, 0.7803, 0.3548)

Calculated density in kg/m3: 3042
Crystal system: monoclinic
Energy relative to the elements, uncorrected in eV/atom: -1.2043

=====

Al2AgH | GGA-PBE | relaxed

a b c (Å): 6.8448 6.8448 6.8448
angles (deg): 30.82 30.82 30.82
Fractional coordinates of all 4 atoms:
Al (0.0886, 0.0886, 0.0886)
Al (0.9114, 0.9114, 0.9114)
Ag (0.5000, 0.5000, 0.5000)
H (0.0000, 0.0000, 0.0000)

E above lowest polymorph in eV/atom: 0.0000
Calculated density in kg/m3: 3621
Crystal system: trigonal

=====

CrAg4Mo | GGA-PBE | relaxed

a b c (Å): 5.3831 5.3831 5.3831
angles (deg): 60.00 60.00 60.00
Fractional coordinates of all 6 atoms:
Cr (0.0000, 0.0000, 0.0000)
Ag (0.3750, 0.3750, 0.3750)
Ag (0.3750, 0.3750, 0.8751)
Ag (0.3750, 0.8751, 0.3750)
Ag (0.8751, 0.3750, 0.3750)
Mo (0.7500, 0.7500, 0.7500)

Energy in eV/cell: -27.76
Calculated density in kg/m3: 8723
Crystal system: cubic

=====

La4Bi2H | GGA-PBE | relaxed

a b c (Å): 9.8244 9.8244 9.8244
angles (deg): 152.03 152.03 39.97
Fractional coordinates of all 7 atoms:
La (0.0000, 0.5000, 0.5000)
La (0.1781, 0.1781, 0.0000)
La (0.5000, 0.0000, 0.5000)
La (0.8219, 0.8219, 0.0000)
Bi (0.3617, 0.3617, 0.0000)
Bi (0.6383, 0.6383, 0.0000)
H (0.0000, 0.0000, 0.0000)

Energy in eV/cell: -36.07
Calculated density in kg/m3: 7775
Crystal system: tetragonal

=====

Tm2CoSi4Ir3 | GGA-PBE | relaxed

a b c (Å): 4.0419 4.0419 9.9175
angles (deg): 90.00 90.00 90.00
Fractional coordinates of all 10 atoms:
Tm (0.0000, 0.5000, 0.2481)
Tm (0.5000, 0.0000, 0.7519)
Co (0.5000, 0.5000, 0.0000)
Si (0.0000, 0.0000, 0.5000)
Si (0.0000, 0.5000, 0.8730)
Si (0.5000, 0.0000, 0.1270)
Si (0.5000, 0.5000, 0.5000)
Ir (0.0000, 0.0000, 0.0000)
Ir (0.0000, 0.5000, 0.6331)
Ir (0.5000, 0.0000, 0.3669)

Calculated density in kg/m3: 11128
Crystal system: tetragonal
Energy relative to the elements, uncorrected in eV/atom: -0.9598

=====

CaIn2P | GGA-PBE | relaxed

a b c (Å): 5.3155 5.3155 5.8382
angles (deg): 112.43 112.43 42.47
Fractional coordinates of all 4 atoms:
Ca (0.0000, 0.0000, 0.0000)
In (0.6064, 0.6064, 0.6168)
In (0.8231, 0.8231, 0.3761)
P (0.2912, 0.2912, 0.0277)

Energy in eV/cell: -14.56
Calculated density in kg/m3: 4914
Crystal system: monoclinic

=====

HoErHgPt | GGA-PBE | relaxed

a b c (Å): 3.5514 3.5514 7.3208
angles (deg): 90.00 90.00 90.00
Fractional coordinates of all 4 atoms:
Ho (0.0000, 0.0000, 0.0000)
Er (0.0000, 0.0000, 0.5493)
Hg (0.5000, 0.5000, 0.2762)
Pt (0.5000, 0.5000, 0.7723)

E above lowest polymorph in eV/atom: 0.0000
Calculated density in kg/m3: 13090
Crystal system: tetragonal

=====

RbNa3Ge | GGA-PBE | relaxed

a b c (Å): 6.0049 6.0049 6.0049
angles (deg): 90.00 90.00 90.00
Fractional coordinates of all 5 atoms:
Rb (0.0000, 0.0000, 0.0000)
Na (0.0000, 0.0000, 0.5000)
Na (0.0000, 0.5000, 0.0000)
Na (0.5000, 0.0000, 0.0000)
Ge (0.5000, 0.5000, 0.5000)

E above lowest polymorph in eV/atom: 0.8340
Calculated density in kg/m3: 1741
Crystal system: cubic

=====

Pr2V2N5 | GGA-PBE | relaxed

a b c (Å): 5.8376 5.8376 5.8933
angles (deg): 108.57 108.57 39.97
Fractional coordinates of all 9 atoms:
Pr (0.0993, 0.0993, 0.3062)
Pr (0.9007, 0.9007, 0.6938)
V (0.3383, 0.3383, 0.1114)
V (0.6617, 0.6617, 0.8886)
N (0.1573, 0.1573, 0.9370)
N (0.3437, 0.3437, 0.4113)
N (0.5000, 0.5000, 0.0000)
N (0.6563, 0.6563, 0.5887)
N (0.8427, 0.8427, 0.0630)

Calculated density in kg/m3: 6207
Crystal system: monoclinic
Energy relative to the elements, uncorrected in eV/atom: -1.0911

=====

KBa2Se | GGA-PBE | relaxed

a b c (Å): 4.7777 5.8429 5.8791
angles (deg): 90.00 90.00 90.00
Fractional coordinates of all 4 atoms:
K (0.0000, 0.0000, 0.0000)
Ba (0.5000, 0.0000, 0.5000)
Ba (0.5000, 0.5000, 0.0000)
Se (0.0000, 0.5000, 0.5000)

Calculated density in kg/m3: 3973
Crystal system: orthorhombic
Energy relative to the elements, uncorrected in eV/atom: -0.5084

=====

Na3Y2HfO6 | GGA-PBE | relaxed

a b c (Å): 5.7929 5.7929 5.9554
angles (deg): 99.28 99.28 120.04
Fractional coordinates of all 12 atoms:
Na (0.0000, 0.0000, 0.0000)
Na (0.3380, 0.6620, 0.0000)
Na (0.6620, 0.3380, 0.0000)
Y (0.1670, 0.8330, 0.5000)
Y (0.8330, 0.1670, 0.5000)
Hf (0.5000, 0.5000, 0.5000)
O (0.1198, 0.4288, 0.2868)
O (0.2599, 0.2599, 0.7104)
O (0.4288, 0.1198, 0.2868)
O (0.5712, 0.8802, 0.7132)
O (0.7401, 0.7401, 0.2896)
O (0.8802, 0.5712, 0.7132)

Calculated density in kg/m3: 5287
Crystal system: monoclinic
Energy relative to the elements, uncorrected in eV/atom: -2.6529

=====

Ac3InSb2Pd9 | GGA-PBE | relaxed

a b c (Å): 6.8035 6.8035 9.7291
angles (deg): 90.00 90.00 120.00
Fractional coordinates of all 15 atoms:
Ac (0.0000, 0.0000, 0.0000)
Ac (0.3333, 0.6667, 0.7334)
Ac (0.6667, 0.3333, 0.2666)
In (0.0000, 0.0000, 0.5000)
Sb (0.3333, 0.6667, 0.1836)
Sb (0.6667, 0.3333, 0.8164)
Pd (0.0000, 0.5000, 0.0000)
Pd (0.1337, 0.2674, 0.2767)
Pd (0.1337, 0.8663, 0.2767)
Pd (0.2674, 0.1337, 0.7233)
Pd (0.5000, 0.0000, 0.0000)
Pd (0.5000, 0.5000, 0.0000)
Pd (0.7326, 0.8663, 0.2767)
Pd (0.8663, 0.1337, 0.7233)
Pd (0.8663, 0.7326, 0.7233)

Calculated density in kg/m3: 8503
Crystal system: trigonal
Energy relative to the elements, uncorrected in eV/atom: -0.5749

=====

Zn2RuSeF | GGA-PBE | relaxed

a b c (Å): 4.9089 4.9089 4.4579
angles (deg): 90.00 90.00 90.00
Fractional coordinates of all 5 atoms:
Zn (0.0000, 0.5000, 0.0000)
Zn (0.5000, 0.0000, 0.0000)
Ru (0.0000, 0.0000, 0.0000)
Se (0.0000, 0.0000, 0.5000)
F (0.5000, 0.5000, 0.5000)

Calculated density in kg/m3: 5099
Crystal system: tetragonal
Energy relative to the elements, uncorrected in eV/atom: -0.1950

=====

TbPr5Dy2Er | GGA-PBE | relaxed

a b c (Å): 10.6882 10.6882 10.7567
angles (deg): 90.00 90.00 149.27
Fractional coordinates of all 18 atoms:
Tb (0.1985, 0.8015, 0.5000)
Tb (0.8015, 0.1985, 0.0000)
Pr (0.0149, 0.9851, 0.5059)
Pr (0.2794, 0.7206, 0.8024)
Pr (0.2956, 0.7044, 0.1956)
Pr (0.3836, 0.6164, 0.5108)
Pr (0.4843, 0.5157, 0.2351)
Pr (0.5157, 0.4843, 0.7351)
Pr (0.6164, 0.3836, 0.0108)
Pr (0.7044, 0.2956, 0.6956)
Pr (0.7206, 0.2794, 0.3024)
Pr (0.9851, 0.0149, 0.0059)
Dy (0.1124, 0.8876, 0.2296)
Dy (0.1147, 0.8853, 0.7965)
Dy (0.8853, 0.1147, 0.2965)
Dy (0.8876, 0.1124, 0.7296)
Er (0.4065, 0.5935, 0.9556)
Er (0.5935, 0.4065, 0.4556)

Energy in eV/cell: -82.08
Calculated density in kg/m3: 7170
Crystal system: orthorhombic

=====

KSrPuBr6 | GGA-PBE | relaxed

a b c (Å): 7.7882 7.7882 14.0554
angles (deg): 90.00 90.00 120.00
Fractional coordinates of all 18 atoms:
K (0.0000, 0.0000, 0.0000)
K (0.0000, 0.0000, 0.5000)
Sr (0.3333, 0.6667, 0.2500)
Sr (0.6667, 0.3333, 0.7500)
Pu (0.3333, 0.6667, 0.7500)
Pu (0.6667, 0.3333, 0.2500)
Br (0.0174, 0.3702, 0.6340)
Br (0.0174, 0.6471, 0.8660)
Br (0.3529, 0.3702, 0.8660)
Br (0.3529, 0.9826, 0.6340)
Br (0.3702, 0.0174, 0.1340)
Br (0.3702, 0.3529, 0.3660)
Br (0.6298, 0.6471, 0.6340)
Br (0.6298, 0.9826, 0.8660)
Br (0.6471, 0.0174, 0.3660)
Br (0.6471, 0.6298, 0.1340)
Br (0.9826, 0.3529, 0.1340)
Br (0.9826, 0.6298, 0.3660)

Calculated density in kg/m3: 3824
Crystal system: trigonal
Energy relative to the elements, uncorrected in eV/atom: -1.7807

=====

Mg2ZnCd2 | GGA-PBE | relaxed

a b c (Å): 7.6613 7.6613 3.8149
angles (deg): 90.00 90.00 90.00
Fractional coordinates of all 10 atoms:
Mg (0.1518, 0.3482, 0.0000)
Mg (0.3482, 0.8482, 0.0000)
Mg (0.6518, 0.1518, 0.0000)
Mg (0.8482, 0.6518, 0.0000)
Zn (0.0000, 0.0000, 0.0000)
Zn (0.5000, 0.5000, 0.0000)
Cd (0.1496, 0.6496, 0.5000)
Cd (0.3504, 0.1496, 0.5000)
Cd (0.6496, 0.8504, 0.5000)
Cd (0.8504, 0.3504, 0.5000)

E above lowest polymorph in eV/atom: 0.1133
Calculated density in kg/m3: 5026
Crystal system: tetragonal

=====

Nd6SnGe2 | GGA-PBE | relaxed

a b c (Å): 8.8680 8.8680 8.8680
angles (deg): 112.53 110.00 105.95
Fractional coordinates of all 18 atoms:
Nd (0.0398, 0.2432, 0.7965)
Nd (0.1854, 0.2756, 0.4610)
Nd (0.1854, 0.7244, 0.9098)
Nd (0.3226, 0.0304, 0.7078)
Nd (0.3226, 0.6149, 0.2922)
Nd (0.4467, 0.2432, 0.2035)
Nd (0.5533, 0.7568, 0.7965)
Nd (0.6774, 0.3851, 0.7078)
Nd (0.6774, 0.9696, 0.2922)
Nd (0.8146, 0.2756, 0.0902)
Nd (0.8146, 0.7244, 0.5390)
Nd (0.9602, 0.7568, 0.2035)
Sn (0.0000, 0.0000, 0.0000)
Sn (0.5000, 0.5000, 0.0000)
Ge (0.1181, 0.6181, 0.5000)
Ge (0.3682, 0.0000, 0.3682)
Ge (0.6318, 0.0000, 0.6318)
Ge (0.8819, 0.3819, 0.5000)

Energy in eV/cell: -94.42
Calculated density in kg/m3: 7010
Crystal system: orthorhombic

=====

Rb2LiF2 | GGA-PBE | relaxed

a b c (Å): 7.6023 7.6023 7.6023
angles (deg): 101.85 92.43 138.79
Fractional coordinates of all 10 atoms:
Rb (0.1372, 0.2037, 0.3409)
Rb (0.3628, 0.7037, 0.0665)
Rb (0.6372, 0.2963, 0.9335)
Rb (0.8628, 0.7963, 0.6591)
Li (0.2500, 0.7500, 0.5000)
Li (0.7500, 0.2500, 0.5000)
F (0.0818, 0.6177, 0.6996)
F (0.4182, 0.1177, 0.5359)
F (0.5818, 0.8823, 0.4641)
F (0.9182, 0.3823, 0.3004)

Calculated density in kg/m3: 2658
Crystal system: orthorhombic
Energy relative to the elements, uncorrected in eV/atom: -2.1195

=====

AcIn6Pb | GGA-PBE | relaxed

a b c (Å): 7.2314 7.2314 4.4607
angles (deg): 90.00 90.00 90.00
Fractional coordinates of all 8 atoms:
Ac (0.0000, 0.0000, 0.0000)
In (0.0000, 0.5000, 0.0000)
In (0.2625, 0.2625, 0.5000)
In (0.2625, 0.7375, 0.5000)
In (0.5000, 0.0000, 0.0000)
In (0.7375, 0.2625, 0.5000)
In (0.7375, 0.7375, 0.5000)
Pb (0.5000, 0.5000, 0.0000)

Energy in eV/cell: -25.43
Calculated density in kg/m3: 7995
Crystal system: tetragonal

=====

PdSCl2 | GGA-PBE | relaxed

a b c (Å): 7.2831 7.2831 7.2831
angles (deg): 95.69 95.69 143.30
Fractional coordinates of all 8 atoms:
Pd (0.0000, 0.0000, 0.0000)
Pd (0.7500, 0.2500, 0.5000)
S (0.2500, 0.7500, 0.5000)
S (0.5000, 0.5000, 0.0000)
Cl (0.3750, 0.1264, 0.2514)
Cl (0.8736, 0.1250, 0.2486)
Cl (0.8750, 0.1236, 0.7486)
Cl (0.8764, 0.6250, 0.7514)

E above lowest polymorph in eV/atom: 0.0000
Calculated density in kg/m3: 3174
Crystal system: tetragonal
Energy relative to the elements, uncorrected in eV/atom: 0.1336

=====

LiHo3U3N8 | GGA-PBE | relaxed

a b c (Å): 6.7295 6.7295 6.7295
angles (deg): 60.29 60.29 60.29
Fractional coordinates of all 15 atoms:
Li (0.0000, 0.0000, 0.0000)
Ho (0.0000, 0.0000, 0.5000)
Ho (0.0000, 0.5000, 0.0000)
Ho (0.5000, 0.0000, 0.0000)
U (0.0000, 0.5000, 0.5000)
U (0.5000, 0.0000, 0.5000)
U (0.5000, 0.5000, 0.0000)
N (0.2430, 0.2430, 0.7284)
N (0.2430, 0.7284, 0.2430)
N (0.2500, 0.2500, 0.2500)
N (0.2716, 0.7570, 0.7570)
N (0.7284, 0.2430, 0.2430)
N (0.7500, 0.7500, 0.7500)
N (0.7570, 0.2716, 0.7570)
N (0.7570, 0.7570, 0.2716)

Calculated density in kg/m3: 10166
Crystal system: trigonal
Energy relative to the elements, uncorrected in eV/atom: -1.1944

=====

NbAl3Cl | GGA-PBE | relaxed

a b c (Å): 4.5854 4.5854 4.5854
angles (deg): 90.00 90.00 90.00
Fractional coordinates of all 5 atoms:
Nb (0.0000, 0.0000, 0.0000)
Al (0.0000, 0.5000, 0.5000)
Al (0.5000, 0.0000, 0.5000)
Al (0.5000, 0.5000, 0.0000)
Cl (0.5000, 0.5000, 0.5000)

E above lowest polymorph in eV/atom: 0.0000
Calculated density in kg/m3: 3605
Crystal system: cubic
Energy relative to the elements, uncorrected in eV/atom: 0.7566